Entry from Alexandria via LeMat-Bulk: a relaxed ZrBeSe2N crystal (GGA-PBE).

Cell lengths 4.9152, 4.9152, 3.2322 Å; angles 90.00, 90.00, 90.00 degrees
Closest atoms and distances in Å follow each position.
Space group P4/mmm (No. 123)
One atom of each set of equivalent atoms:
1 Zr 0.0000 0.0000 0.0000 (multiplicity 1)  8 Se 2.94, 2 Zr 3.23
2 Be 0.5000 0.5000 0.5000 (multiplicity 1)  2 N 1.62
3 Se 0.0000 0.5000 0.5000 (multiplicity 2)  2 Be 2.46
4 N 0.5000 0.5000 0.0000 (multiplicity 1)  2 Be 1.62

## Properties
The calculation puts the formation energy without anion corrections at -0.0909 eV per atom. The spin magnetization comes out at 0.0000 μB/atom. The total energy comes out at -5.6047 eV/atom. The calculation puts the distance to the lowest polymorph of the same formula at 0 meV/atom. For the volume, the calculation gives 15.617 Å³ per atom.

***

Entry from Alexandria via LeMat-Bulk: a relaxed TbPm3Sc2Se6 crystal (GGA-PBE).

Cell lengths 6.9920, 12.1644, 7.1468 Å; angles 90.00, 109.15, 90.00 degrees
Closest atoms and distances in Å follow each position.
Space group C2/m (No. 12)
One atom of each set of equivalent atoms:
1 Tb 0.0000 0.0000 0.0000 (multiplicity 2)  6 Se 2.85-2.87
2 Pm 0.0000 0.1609 0.5000 (multiplicity 4)  6 Se 2.95-2.99
3 Pm 0.0000 0.5000 0.5000 (multiplicity 2)  6 Se 2.92-2.99
4 Sc 0.0000 0.3340 0.0000 (multiplicity 4)  6 Se 2.75-2.78
5 Se 0.2310 0.5000 0.2259 (multiplicity 4)  2 Sc 2.75, 1 Tb 2.85, 3 Pm 2.92-2.96
6 Se 0.2489 0.1722 0.2310 (multiplicity 8)  2 Sc 2.78, 1 Tb 2.87, 3 Pm 2.95-2.99

## Properties
The calculation puts the formation energy without anion corrections at -1.7339 eV per atom. The spin magnetization comes out at 0.0000 μB/atom. The total energy comes out at -6.1050 eV/atom. For the volume, the calculation gives 23.926 Å³ per atom.

***

Entry from Alexandria via LeMat-Bulk: a relaxed In5HgPb2 crystal (GGA-PBE).

Cell lengths 8.2374, 8.2374, 6.7033 Å; angles 90.00, 90.00, 90.00 degrees
Closest atoms and distances in Å follow each position.
Space group I4mm (No. 107)
One atom of each set of equivalent atoms:
1 In 0.0000 0.0000 0.0000 (multiplicity 2)  2 Hg 3.35-3.36, 8 In 3.36
2 In 0.2497 0.2497 0.2506 (multiplicity 8)  4 In 3.35-3.36, 2 Hg 3.36, 4 Pb 3.36
3 Hg 0.0000 0.0000 0.5008 (multiplicity 2)  10 In 3.35-3.36
4 Pb 0.0000 0.5000 0.0003 (multiplicity 4)  2 Pb 3.35, 8 In 3.36

## Properties
Its formation energy is 0.03 eV per atom. The spin magnetization comes out at 0.0000 μB/atom. The total energy comes out at -2.6414 eV/atom. The calculation puts the distance to the lowest polymorph of the same formula at 0 meV/atom. For the volume, the calculation gives 28.428 Å³ per atom.

***

Entry from Alexandria via LeMat-Bulk: a relaxed NiRh2 crystal (GGA-PBE).

Cell lengths 4.2970, 4.2970, 2.6029 Å; angles 90.00, 90.00, 120.00 degrees
Closest atoms and distances in Å follow each position.
Space group P6/mmm (No. 191)
One atom of each set of equivalent atoms:
1 Ni 0.0000 0.0000 0.0000 (multiplicity 1)  2 Ni 2.60, 12 Rh 2.80
2 Rh 0.3333 0.6667 0.5000 (multiplicity 2)  5 Rh 2.48-2.60

## Properties
Its formation energy is 0.27 eV per atom. The spin magnetization comes out at 0.5093 μB/atom. The total energy comes out at -6.5556 eV/atom. The calculation puts the distance to the lowest polymorph of the same formula at 233 meV/atom. For the volume, the calculation gives 13.874 Å³ per atom.

***

Entry from Alexandria via LeMat-Bulk: a relaxed CaAcPm2Te4 crystal (GGA-PBE).

Cell lengths 7.8861, 4.5134, 7.9133 Å; angles 90.00, 108.98, 90.00 degrees
Closest atoms and distances in Å follow each position.
Space group P2/m (No. 10)
One atom of each set of equivalent atoms:
1 Ca 0.0000 0.0000 0.0000 (multiplicity 1)  6 Te 3.20-3.21
2 Ac 0.5000 0.5000 0.0000 (multiplicity 1)  6 Te 3.28-3.29
3 Pm 0.0000 0.5000 0.5000 (multiplicity 1)  6 Te 3.15
4 Pm 0.5000 0.0000 0.5000 (multiplicity 1)  6 Te 3.23-3.24
5 Te 0.2374 0.0000 0.7404 (multiplicity 2)  3 Pm 3.15-3.24, 1 Ca 3.20, 2 Ac 3.29
6 Te 0.2428 0.5000 0.2536 (multiplicity 2)  3 Pm 3.15-3.23, 2 Ca 3.21, 1 Ac 3.28

## Properties
The calculation puts the formation energy without anion corrections at -1.4675 eV per atom. The spin magnetization comes out at 0.0000 μB/atom. The total energy comes out at -4.9897 eV/atom. For the volume, the calculation gives 33.292 Å³ per atom.

***

Entry from Alexandria via LeMat-Bulk: a relaxed GdAgPt2 crystal (GGA-PBE).

Cell lengths 4.2727, 4.2727, 4.0679 Å; angles 90.00, 90.00, 90.00 degrees
Closest atoms and distances in Å follow each position.
Space group P4/mmm (No. 123)
One atom of each set of equivalent atoms:
1 Gd 0.0000 0.0000 0.0000 (multiplicity 1)  8 Pt 2.95, 4 Ag 3.02
2 Ag 0.5000 0.5000 0.0000 (multiplicity 1)  8 Pt 2.95, 4 Gd 3.02
3 Pt 0.0000 0.5000 0.5000 (multiplicity 2)  4 Gd 2.95, 4 Ag 2.95, 4 Pt 3.02

## Properties
Its formation energy is -0.77 eV per atom. The spin magnetization comes out at 1.7485 μB/atom. The total energy comes out at -8.0186 eV/atom. The calculation puts the distance to the lowest polymorph of the same formula at 0 meV/atom. For the volume, the calculation gives 18.566 Å³ per atom.

***

Question: Number 2 is which compound?
Answer: TbPm3Sc2Se6

***

Question: Among the records above, which one has the lowest volume?
Answer: NiRh2